[1]
This record from Alexandria via LeMat-Bulk describes an optimized crystal structure of ZrTi3Pb. The functional is GGA-PBE.

As for the energy above the lowest structure with this stoichiometry: 0.000 eV/atom.

Unit cell a=9.8178 b=3.1754 c=13.0610 alpha=90.00 beta=90.00 gamma=90.00
With the nearest neighbours (Å) after each atom.
Space group Pnma (No. 62)
Asymmetric unit:
Zr (0.1319, 0.2500, 0.0130) [4 per cell]  5 Ti 2.96-3.31, 4 Zr 3.06-3.18, 2 Pb 3.13
Ti (0.0735, 0.7500, 0.7909) [4 per cell]  4 Ti 2.83-2.89, 1 Pb 3.02
Ti (0.1009, 0.2500, 0.6076) [4 per cell]  3 Ti 2.61-2.89, 3 Pb 2.89-2.92
Ti (0.1653, 0.7500, 0.2024) [4 per cell]  3 Ti 2.61-2.83, 2 Pb 2.91
Pb (0.1482, 0.2500, 0.3889) [4 per cell]  7 Ti 2.89-3.20, 2 Zr 3.13, 2 Pb 3.18



[2]
This record from Alexandria via LeMat-Bulk describes an optimized crystal structure of ZrTiPb. The functional is GGA-PBE.

As for the energy above the lowest structure with this stoichiometry: 0.280 eV/atom.

Unit cell a=4.9406 b=4.9406 c=3.1541 alpha=90.00 beta=90.00 gamma=120.00
With the nearest neighbours (Å) after each atom.
Space group P3m1 (No. 156)
Asymmetric unit:
Zr (0.0000, 0.0000, 0.0000) [1 per cell]  2 Zr 3.15, 6 Pb 3.25-3.26, 6 Ti 3.25-3.26
Ti (0.3333, 0.6667, 0.4970) [1 per cell]  3 Pb 2.85, 2 Ti 3.15
Pb (0.6667, 0.3333, 0.5033) [1 per cell]  3 Ti 2.85, 2 Pb 3.15



[3]
This record from Alexandria via LeMat-Bulk describes an optimized crystal structure of Zr5Ti5Pb6. The functional is GGA-PBE.

Unit cell a=5.6640 b=14.3585 c=8.5597 alpha=90.00 beta=90.00 gamma=90.00
With the nearest neighbours (Å) after each atom.
Space group Amm2 (No. 38)
Asymmetric unit:
Zr (0.0000, 0.0000, 0.0000) [2 per cell]  5 Pb 2.93-3.12
Zr (0.0000, 0.1147, 0.3602) [4 per cell]  5 Pb 2.94-3.16
Zr (0.5000, 0.1170, 0.1331) [4 per cell]  5 Pb 2.95-3.17
Ti (0.2507, 0.1684, 0.7516) [8 per cell]  2 Ti 2.82-2.84, 6 Pb 2.92-2.96
Ti (0.5000, 0.0000, 0.5065) [2 per cell]  5 Pb 2.84-3.07
Pb (0.0000, 0.0000, 0.6446) [2 per cell]  3 Zr 2.94-3.04, 6 Ti 2.95-3.07
Pb (0.0000, 0.2022, 0.0476) [4 per cell]  4 Ti 2.92-2.94, 5 Zr 2.93-3.17
Pb (0.5000, 0.0000, 0.8483) [2 per cell]  5 Ti 2.92-2.93, 4 Zr 2.96-3.12
Pb (0.5000, 0.1951, 0.4520) [4 per cell]  5 Ti 2.84-2.96, 4 Zr 2.95-3.16



no.,ΔH_f (0 K) (eV per formula unit)
1,0.3
2,0.4
3,-2.7